# 1
First-principles (PBE-GGA) data for a geometry-optimized Ac2CeTeO4 structure, as listed in Alexandria.

Cell: 4.0870 4.0870 9.7141 Å, 90.00 90.00 90.00°
Each line ends with the local moment (μB).
Fractional coordinates of all 8 atoms:
Ac  0.5000  0.5000  0.2742  0.00
Ac  0.5000  0.5000  0.7258  0.00
Ce  0.0000  0.0000  0.0000  0.21
Te  0.0000  0.0000  0.5000  0.00
O  0.0000  0.5000  0.1379  -0.01
O  0.5000  0.0000  0.8621  -0.01
O  0.5000  0.0000  0.1379  -0.01
O  0.0000  0.5000  0.8621  -0.01

Computed properties:
* SG: P4/mmm (123)
* ΔE_f (raw): -3100 meV/atom


# 2
First-principles (PBE-GGA) data for a geometry-optimized CaEuPt2 structure, as listed in Alexandria.

Cell: 4.1837 4.1837 7.1925 Å, 73.09 73.09 60.00°
Each line ends with the local moment (μB).
Fractional coordinates of all 4 atoms:
Eu  0.5000  0.5000  0.5000  6.68
Ca  0.0000  0.0000  0.0000  0.00
Pt  0.2509  0.2509  0.2472  -0.05
Pt  0.7491  0.7491  0.7528  -0.05

Computed properties:
* formation enthalpy at 0 K: -0.73 eV per atom
* SG: R-3m (166)


Number 1: raw total energy -61.9 eV per cell. Number 2: raw total energy -27.3 eV per cell.